Record 1
Material: SmHo2Hg4
Method: DFT, PBE
State: optimized geometry

a b c (Å): 4.937 4.937 9.386
angles (deg): 74.75 74.75 60.00
Atoms (fractional coordinates):
Sm: 0.000 0.000 0.000
Hg: 0.753 0.753 0.740
Hg: 0.606 0.606 0.182
Hg: 0.394 0.394 0.818
Hg: 0.247 0.247 0.260
Ho: 0.124 0.124 0.627
Ho: 0.876 0.876 0.373

Computed properties:
The calculated total energy comes out at -17.115 eV for the cell shown. The energy above the most stable polymorph in this dataset comes out at 103 meV/atom. The value obtained for the formation energy is -0.290 eV/atom. The density of states at the Fermi level is 4.8 states/eV/f.u. The space group is R-3m (166).

***

Record 2
Material: Ta2TlO6
Method: DFT, PBE
State: optimized geometry

a b c (Å): 7.547 7.547 7.547
angles (deg): 119.76 120.08 90.14
Atoms (fractional coordinates):
Ta: 0.000 0.000 0.500
O: 0.313 0.063 0.250
O: 0.935 0.689 0.877
Ta: 0.500 0.000 0.500
O: 0.065 0.943 0.755
O: 0.688 0.943 0.377
Ta: 0.000 0.000 0.000
O: 0.687 0.937 0.750
Ta: 0.000 0.500 0.000
O: 0.312 0.689 0.255
O: 0.935 0.057 0.245
O: 0.688 0.311 0.745
O: 0.056 0.306 0.750
O: 0.312 0.057 0.623
O: 0.944 0.694 0.250
Tl: 0.500 0.500 0.500
O: 0.065 0.311 0.123
Tl: 0.500 0.000 0.000

Computed properties:
The calculated total energy comes out at -152.512 eV for the cell shown. The energy above the most stable polymorph in this dataset comes out at 52 meV/atom. The density of states at the Fermi level is 7.3 states/eV/f.u. The space group is Imma (74). The calculation puts the raw formation energy at -2.27 eV per atom.

***

Record 3
Material: ScNb2F
Method: DFT, PBE
State: optimized geometry

a b c (Å): 4.653 4.653 4.653
angles (deg): 60.00 60.00 60.00
Atoms (fractional coordinates):
Nb: 0.250 0.250 0.250
F: 0.000 0.000 0.000
Nb: 0.750 0.750 0.750
Sc: 0.500 0.500 0.500

Computed properties:
The calculated total energy comes out at -26.133 eV for the cell shown. The energy above the most stable polymorph in this dataset comes out at 284 meV/atom. The density of states at the Fermi level is 3.7 states/eV/f.u. The space group is Fm-3m (225). The calculation puts the raw formation energy at 0.55 eV per atom.

***

Record 4
Material: LaDyCdAu
Method: DFT, PBE
State: optimized geometry

a b c (Å): 5.326 5.326 5.326
angles (deg): 60.00 60.00 60.00
Atoms (fractional coordinates):
La: 0.000 0.000 0.000
Au: 0.250 0.250 0.250
Cd: 0.750 0.750 0.750
Dy: 0.500 0.500 0.500

Computed properties:
The calculated total energy comes out at -15.822 eV for the cell shown. The energy above the most stable polymorph in this dataset comes out at 48 meV/atom. The value obtained for the formation energy is -0.525 eV/atom. The density of states at the Fermi level is 2.5 states/eV/f.u. The space group is F-43m (216).

***

Record 5
Material: Ti5Cu2Si
Method: DFT, PBE
State: optimized geometry

a b c (Å): 6.355 6.355 7.630
angles (deg): 114.61 114.61 90.00
Atoms (fractional coordinates):
Ti: 0.318 0.818 0.321
Ti: 0.500 0.500 0.000
Ti: 0.504 0.318 0.321
Ti: 0.182 0.996 0.679
Ti: 0.496 0.682 0.679
Cu: 0.632 0.132 0.000
Ti: 0.818 0.004 0.321
Si: 0.750 0.750 0.500
Cu: 0.868 0.632 0.000
Cu: 0.368 0.868 0.000
Ti: 0.682 0.182 0.679
Ti: 0.000 0.000 0.000
Cu: 0.132 0.368 0.000
Ti: 0.996 0.496 0.679
Si: 0.250 0.250 0.500
Ti: 0.004 0.504 0.321

Computed properties:
The calculated total energy comes out at -109.579 eV for the cell shown. The density of states at the Fermi level is 10.9 states/eV/f.u. The space group is I4/mcm (140). The calculation puts the raw formation energy at -0.21 eV per atom.

***

Record 6
Material: AgBS2Cl
Method: DFT, PBE
State: optimized geometry

a b c (Å): 4.824 4.824 5.046
angles (deg): 90.00 90.00 90.00
Atoms (fractional coordinates):
S: 0.500 0.000 0.000
Ag: 0.000 0.000 0.000
Cl: 0.000 0.000 0.500
S: 0.000 0.500 0.000
B: 0.500 0.500 0.500

Computed properties:
The calculated total energy comes out at -12.630 eV for the cell shown. The energy above the most stable polymorph in this dataset comes out at 939 meV/atom. The density of states at the Fermi level is 6.6 states/eV/f.u. The space group is P4/mmm (123). The calculation puts the raw formation energy at 1.40 eV per atom.

***

Record 7
Material: RbBi2Au2
Method: DFT, PBE
State: optimized geometry

a b c (Å): 9.101 9.101 3.396
angles (deg): 90.00 90.00 90.00
Atoms (fractional coordinates):
Bi: 0.367 0.867 0.000
Au: 0.665 0.835 0.500
Bi: 0.867 0.633 0.000
Bi: 0.633 0.133 0.000
Bi: 0.133 0.367 0.000
Rb: 0.000 0.000 0.000
Au: 0.335 0.165 0.500
Rb: 0.500 0.500 0.000
Au: 0.165 0.665 0.500
Au: 0.835 0.335 0.500

Computed properties:
The calculated total energy comes out at -31.234 eV for the cell shown. The energy above the most stable polymorph in this dataset comes out at 144 meV/atom. The value obtained for the formation energy is -0.067 eV/atom. The density of states at the Fermi level is 1.7 states/eV/f.u. The space group is P4/mbm (127).

***

Record 8
Material: LiNi2Pt
Method: DFT, PBE
State: optimized geometry

a b c (Å): 2.961 2.961 5.563
angles (deg): 90.00 90.00 90.00
Atoms (fractional coordinates):
Ni: 0.000 0.000 0.009
Li: 0.500 0.500 0.762
Ni: 0.500 0.500 0.225
Pt: 0.000 0.000 0.504

Computed properties:
The calculated total energy comes out at -19.870 eV for the cell shown. The value obtained for the formation energy is -0.088 eV/atom. The density of states at the Fermi level is 4.6 states/eV/f.u. The space group is P4mm (99).

***

Record 9
Material: Co2Ni2Pd
Method: DFT, PBE
State: optimized geometry

a b c (Å): 3.474 3.474 5.876
angles (deg): 107.18 107.18 90.06
Atoms (fractional coordinates):
Pd: 0.000 0.000 0.000
Ni: 0.250 0.750 0.500
Co: 0.601 0.601 0.203
Co: 0.399 0.399 0.797
Ni: 0.750 0.250 0.500

Computed properties:
The calculated total energy comes out at -29.376 eV for the cell shown. The energy above the most stable polymorph in this dataset comes out at 192 meV/atom. The value obtained for the formation energy is 0.318 eV/atom. The density of states at the Fermi level is 6.0 states/eV/f.u. The space group is I4/mmm (139).

***

Record 10
Material: TbSm2Er6
Method: DFT, PBE
State: optimized geometry

a b c (Å): 6.524 9.517 9.517
angles (deg): 95.89 80.88 80.88
Atoms (fractional coordinates):
Er: 0.184 0.044 0.221
Er: 0.770 0.538 0.941
Sm: 0.872 0.383 0.332
Er: 0.003 0.277 0.652
Er: 0.684 0.221 0.044
Sm: 0.372 0.332 0.383
Er: 0.503 0.652 0.277
Er: 0.270 0.941 0.538
Er: 0.497 0.348 0.723
Er: 0.730 0.059 0.462
Er: 0.230 0.462 0.059
Tb: 0.750 0.881 0.119
Er: 0.997 0.723 0.348
Er: 0.316 0.779 0.956
Sm: 0.628 0.668 0.617
Sm: 0.128 0.617 0.668
Tb: 0.250 0.119 0.881
Er: 0.816 0.956 0.779

Computed properties:
The calculated total energy comes out at -80.946 eV for the cell shown. The energy above the most stable polymorph in this dataset comes out at 0 meV/atom. The value obtained for the formation energy is 0.108 eV/atom. The density of states at the Fermi level is 11.4 states/eV/f.u. The space group is C2/c (15).

***

Record 11
Material: NaCaHgGe
Method: DFT, PBE
State: optimized geometry

a b c (Å): 5.169 5.169 5.169
angles (deg): 60.00 60.00 60.00
Atoms (fractional coordinates):
Ge: 0.250 0.250 0.250
Na: 0.000 0.000 0.000
Ca: 0.500 0.500 0.500
Hg: 0.750 0.750 0.750

Computed properties:
The calculated total energy comes out at -9.478 eV for the cell shown. The value obtained for the formation energy is -0.309 eV/atom. The density of states at the Fermi level is 4.1 states/eV/f.u. The space group is F-43m (216).

***

Record 12
Material: Pr2Sm3Ho6
Method: DFT, PBE
State: optimized geometry

a b c (Å): 4.766 4.766 17.006
angles (deg): 98.06 98.06 90.00
Atoms (fractional coordinates):
Ho: 0.622 0.122 0.244
Sm: 0.000 0.000 0.000
Sm: 0.797 0.797 0.594
Sm: 0.203 0.203 0.406
Pr: 0.546 0.546 0.093
Ho: 0.306 0.306 0.612
Ho: 0.122 0.622 0.244
Ho: 0.694 0.694 0.388
Pr: 0.454 0.454 0.907
Ho: 0.378 0.878 0.756
Ho: 0.878 0.378 0.756

Computed properties:
The calculated total energy comes out at -48.330 eV for the cell shown. The energy above the most stable polymorph in this dataset comes out at 78 meV/atom. The value obtained for the formation energy is 0.259 eV/atom. The density of states at the Fermi level is 16.6 states/eV/f.u. The space group is I4/mmm (139).